[1]
Here is a geometry-optimized Zn6PO6 structure from the Alexandria database. Energies are from GGA-PBE.

Results
Crystal system ... cubic
Formation energy from raw total energies ... -95.1 kJ/mol of atoms
VASP energy ... -55.62 eV per formula unit

Cell and atoms, written as CIF:
```
data_Zn6PO6
_cell_length_a 5.714
_cell_length_b 5.714
_cell_length_c 5.714
_cell_angle_alpha 90.00
_cell_angle_beta 90.00
_cell_angle_gamma 90.00
_space_group_name_H-M_alt 'P m -3'
_space_group_IT_number 200
_space_group_name_Hall '-P 2 2 3'
loop_
_atom_site_label
_atom_site_fract_x
_atom_site_fract_y
_atom_site_fract_z
Zn1 0.000 0.247 0.500
P1 0.000 0.000 0.000
O1 0.000 0.500 0.254
```

=====

[2]
Here is a geometry-optimized ZnPO2 structure from the Alexandria database. Energies are from GGA-PBE.

Results
Crystal system ... tetragonal
Formation energy from raw total energies ... -49.6 kJ/mol of atoms
Energy above the lowest structure with this stoichiometry ... 0.444 eV per atom
VASP energy ... -18.66 eV per formula unit

Cell and atoms, written as CIF:
```
data_ZnPO2
_cell_length_a 4.292
_cell_length_b 4.292
_cell_length_c 11.179
_cell_angle_alpha 90.00
_cell_angle_beta 90.00
_cell_angle_gamma 90.00
_space_group_name_H-M_alt 'I -4 2 d'
_space_group_IT_number 122
_space_group_name_Hall 'I -4 2bw'
loop_
_atom_site_label
_atom_site_fract_x
_atom_site_fract_y
_atom_site_fract_z
Zn1 0.000 0.000 0.000
P1 0.000 0.000 0.500
O1 0.239 0.250 0.625
```

=====

[3]
Here is a geometry-optimized Zn2P2O7 structure from the Alexandria database. Energies are from GGA-PBE.

Results
Crystal system ... orthorhombic
Formation energy from raw total energies ... -191.5 kJ/mol of atoms
Energy above the lowest structure with this stoichiometry ... 0.000 eV per atom
VASP energy ... -69.91 eV per formula unit

Cell and atoms, written as CIF:
```
data_Zn2P2O7
_cell_length_a 5.039
_cell_length_b 13.499
_cell_length_c 16.669
_cell_angle_alpha 90.00
_cell_angle_beta 90.00
_cell_angle_gamma 90.00
_space_group_name_H-M_alt 'P b c m'
_space_group_IT_number 57
loop_
_space_group_symop_operation_xyz
'x,y,z'
'-x,-y,-z'
'-x,-y,z+1/2'
'x,y,-z+1/2'
'x,-y+1/2,-z'
'-x,y+1/2,z'
'-x,y+1/2,-z+1/2'
'x,-y+1/2,z+1/2'
loop_
_atom_site_label
_atom_site_fract_x
_atom_site_fract_y
_atom_site_fract_z
Zn1 0.093 0.047 0.086
Zn2 0.324 0.241 0.657
P1 0.044 0.055 0.750
P2 0.169 0.652 0.250
P3 0.419 0.644 0.503
O1 0.009 0.671 0.172
O2 0.116 0.547 0.673
O3 0.196 0.566 0.003
O4 0.216 0.149 0.750
O5 0.257 0.538 0.250
O6 0.266 0.750 0.000
O7 0.402 0.141 0.073
O8 0.423 0.137 0.580
O9 0.432 0.710 0.250
```